Record 1
# GGA-PBE Mg2SbPb2, optimized geometry
data_Mg2SbPb2
_chemical_formula_sum 'Mg4 Sb2 Pb4'
_space_group_name_H-M_alt 'P 4/m b m'
_space_group_IT_number 127
_space_group_name_Hall '-P 4 2ab'
_cell_length_a 8.929
_cell_length_b 8.929
_cell_length_c 3.428
_cell_angle_alpha 90.00
_cell_angle_beta 90.00
_cell_angle_gamma 90.00
loop_
_atom_site_label
_atom_site_fract_x
_atom_site_fract_y
_atom_site_fract_z
Mg1 0.135 0.365 0.000
Sb1 0.000 0.000 0.500
Pb1 0.165 0.665 0.500
# Total moment = 0.0 μB per formula unit
# ρ = 7.10 g/cm³
# V = 136.7 Å³/f.u.
# E above lowest polymorph = 0 meV/atom
# E = -2.9020 eV per atom

=====

Record 2
# GGA-PBE Mg3SbPb, optimized geometry
data_Mg3SbPb
_chemical_formula_sum 'Mg3 Sb1 Pb1'
_space_group_name_H-M_alt 'P m -3 m'
_space_group_IT_number 221
_space_group_name_Hall '-P 4 2 3'
_cell_length_a 5.389
_cell_length_b 5.389
_cell_length_c 5.389
_cell_angle_alpha 90.00
_cell_angle_beta 90.00
_cell_angle_gamma 90.00
loop_
_atom_site_label
_atom_site_fract_x
_atom_site_fract_y
_atom_site_fract_z
Mg1 0.000 0.000 0.500
Sb1 0.000 0.000 0.000
Pb1 0.500 0.500 0.500
# Total moment = 0.0 μB per formula unit
# ρ = 4.26 g/cm³
# V = 156.5 Å³/f.u.
# E above lowest polymorph = 0 meV/atom
# E = -2.2776 eV per atom

=====

Record 3
# GGA-PBE MgSbTe2Pb, optimized geometry
data_MgSbTe2Pb
_chemical_formula_sum 'Mg1 Sb1 Te2 Pb1'
_space_group_name_H-M_alt 'P 4/m m m'
_space_group_IT_number 123
_space_group_name_Hall '-P 4 2'
_cell_length_a 5.841
_cell_length_b 5.841
_cell_length_c 5.833
_cell_angle_alpha 90.00
_cell_angle_beta 90.00
_cell_angle_gamma 90.00
loop_
_atom_site_label
_atom_site_fract_x
_atom_site_fract_y
_atom_site_fract_z
Mg1 0.000 0.000 0.000
Sb1 0.500 0.500 0.000
Te1 0.000 0.500 0.500
Pb1 0.500 0.500 0.500
# Total moment = 0.8 μB per formula unit
# ρ = 5.08 g/cm³
# V = 199.0 Å³/f.u.
# E above lowest polymorph = 435 meV/atom
# E = -2.5457 eV per atom

=====

Record 4
# GGA-PBE MgSbTe2Pb, optimized geometry
data_MgSbTe2Pb
_chemical_formula_sum 'Mg1 Sb1 Te2 Pb1'
_space_group_name_H-M_alt 'P 4/m m m'
_space_group_IT_number 123
_space_group_name_Hall '-P 4 2'
_cell_length_a 5.540
_cell_length_b 5.540
_cell_length_c 5.344
_cell_angle_alpha 90.00
_cell_angle_beta 90.00
_cell_angle_gamma 90.00
loop_
_atom_site_label
_atom_site_fract_x
_atom_site_fract_y
_atom_site_fract_z
Mg1 0.000 0.000 0.000
Sb1 0.000 0.000 0.500
Te1 0.000 0.500 0.000
Pb1 0.500 0.500 0.500
# Total moment = 0.0 μB per formula unit
# ρ = 6.16 g/cm³
# V = 164.0 Å³/f.u.
# E above lowest polymorph = 0 meV/atom
# E = -2.9805 eV per atom

=====

> What is the formula in the fourth record?

MgSbTe2Pb

=====

Copy entry 1 word for word.
# GGA-PBE Mg2SbPb2, optimized geometry
data_Mg2SbPb2
_chemical_formula_sum 'Mg4 Sb2 Pb4'
_space_group_name_H-M_alt 'P 4/m b m'
_space_group_IT_number 127
_space_group_name_Hall '-P 4 2ab'
_cell_length_a 8.929
_cell_length_b 8.929
_cell_length_c 3.428
_cell_angle_alpha 90.00
_cell_angle_beta 90.00
_cell_angle_gamma 90.00
loop_
_atom_site_label
_atom_site_fract_x
_atom_site_fract_y
_atom_site_fract_z
Mg1 0.135 0.365 0.000
Sb1 0.000 0.000 0.500
Pb1 0.165 0.665 0.500
# Total moment = 0.0 μB per formula unit
# ρ = 7.10 g/cm³
# V = 136.7 Å³/f.u.
# E above lowest polymorph = 0 meV/atom
# E = -2.9020 eV per atom

=====

Copy entry 2 word for word.
# GGA-PBE Mg3SbPb, optimized geometry
data_Mg3SbPb
_chemical_formula_sum 'Mg3 Sb1 Pb1'
_space_group_name_H-M_alt 'P m -3 m'
_space_group_IT_number 221
_space_group_name_Hall '-P 4 2 3'
_cell_length_a 5.389
_cell_length_b 5.389
_cell_length_c 5.389
_cell_angle_alpha 90.00
_cell_angle_beta 90.00
_cell_angle_gamma 90.00
loop_
_atom_site_label
_atom_site_fract_x
_atom_site_fract_y
_atom_site_fract_z
Mg1 0.000 0.000 0.500
Sb1 0.000 0.000 0.000
Pb1 0.500 0.500 0.500
# Total moment = 0.0 μB per formula unit
# ρ = 4.26 g/cm³
# V = 156.5 Å³/f.u.
# E above lowest polymorph = 0 meV/atom
# E = -2.2776 eV per atom

=====

> Which value of E does entry 4 give?

-2.9805 eV per atom